Here is a relaxed AlInAu crystal from Alexandria via LeMat-Bulk. Energies are from PBE.

Cell lengths 6.0763, 6.0761, 3.3204 Å; angles 74.15, 74.14, 31.71 degrees
Sites, in units of the cell vectors:
Au 0.3577 0.3577 0.6423
Al 0.9751 0.9751 0.0249
In 0.6672 0.6672 0.3328

## Properties
density of states at the Fermi level	0.743	states/eV/f.u.
energy of formation	-0.09	eV per atom